A relaxed PmErThAg crystal. Source: Alexandria, functional PBE.

a = 5.418 Å, b = 5.418 Å, c = 5.418 Å
α = 60.00°, β = 60.00°, γ = 60.00°
Sites, in units of the cell vectors:
Pm1 0.000 0.000 0.000
Er1 0.750 0.750 0.750
Th1 0.250 0.250 0.250
Ag1 0.500 0.500 0.500

ΔE_f: 0.155 eV per atom
D(E_F): 2.164 states/eV/atom
Energy: -4.742 eV/atom